{
  "formula": "Na4Cd2Bi",
  "functional": "GGA-PBE",
  "state": "relaxed",
  "cell": [[6.0390, 0.0000, 0.0000], [0.0000, 6.0390, 0.0000], [0.0000, 0.0000, 15.4179]],
  "species": ["Na", "Na", "Na", "Na", "Na", "Na", "Na", "Na", "Cd", "Cd", "Cd", "Cd", "Bi", "Bi"],
  "fractional_positions": [[0.0000, 0.0000, 0.1970], [0.0000, 0.0000, 0.8030], [0.0000, 0.5000, 0.0000], [0.0000, 0.5000, 0.5000], [0.5000, 0.0000, 0.0000], [0.5000, 0.0000, 0.5000], [0.5000, 0.5000, 0.3030], [0.5000, 0.5000, 0.6970], [0.0000, 0.0000, 0.4021], [0.0000, 0.0000, 0.5979], [0.5000, 0.5000, 0.0979], [0.5000, 0.5000, 0.9021], [0.0000, 0.0000, 0.0000], [0.5000, 0.5000, 0.5000]],
  "dos_ef_per_ev_cell": 4.128,
  "final_energy_ev_per_atom": -1.588,
  "ef_ev_per_atom": -0.02,
  "total_magnetization_mub_per_atom": 0.000,
  "crystal_system": "tetragonal"
}

{
  "formula": "CeNd3Se4",
  "functional": "GGA-PBE",
  "state": "relaxed",
  "cell": [[8.4936, 0.0000, 0.0000], [0.0000, 11.9459, 0.0000], [0.0000, 0.0000, 4.2016]],
  "species": ["Ce", "Ce", "Nd", "Nd", "Nd", "Nd", "Nd", "Nd", "Se", "Se", "Se", "Se", "Se", "Se", "Se", "Se"],
  "fractional_positions": [[0.0000, 0.0000, 0.0000], [0.5000, 0.5000, 0.0000], [0.0000, 0.5000, 0.0000], [0.2500, 0.2500, 0.5000], [0.2500, 0.7500, 0.5000], [0.5000, 0.0000, 0.0000], [0.7500, 0.2500, 0.5000], [0.7500, 0.7500, 0.5000], [0.0000, 0.2490, 0.0000], [0.0000, 0.7510, 0.0000], [0.2484, 0.0000, 0.5000], [0.2516, 0.5000, 0.5000], [0.5000, 0.2510, 0.0000], [0.5000, 0.7490, 0.0000], [0.7484, 0.5000, 0.5000], [0.7516, 0.0000, 0.5000]],
  "e_form_raw_ev_per_atom": -1.839,
  "dos_ef_per_ev_cell": 18.540,
  "final_energy_ev_per_atom": -6.111,
  "total_magnetization_mub_per_atom": 0.124,
  "crystal_system": "orthorhombic"
}

{
  "formula": "Dy2TlZn",
  "functional": "GGA-PBE",
  "state": "relaxed",
  "cell": [[7.3874, 0.0000, 0.0000], [0.0000, 7.3874, 0.0000], [0.0000, 0.0000, 7.3874]],
  "species": ["Dy", "Dy", "Dy", "Dy", "Dy", "Dy", "Dy", "Dy", "Tl", "Tl", "Tl", "Tl", "Zn", "Zn", "Zn", "Zn"],
  "fractional_positions": [[0.2500, 0.2500, 0.2500], [0.2500, 0.2500, 0.7500], [0.2500, 0.7500, 0.2500], [0.2500, 0.7500, 0.7500], [0.7500, 0.2500, 0.2500], [0.7500, 0.2500, 0.7500], [0.7500, 0.7500, 0.2500], [0.7500, 0.7500, 0.7500], [0.0000, 0.0000, 0.0000], [0.0000, 0.5000, 0.5000], [0.5000, 0.0000, 0.5000], [0.5000, 0.5000, 0.0000], [0.0000, 0.0000, 0.5000], [0.0000, 0.5000, 0.0000], [0.5000, 0.0000, 0.0000], [0.5000, 0.5000, 0.5000]],
  "dos_ef_per_ev_cell": 16.852,
  "final_energy_ev_per_atom": -3.539,
  "ef_ev_per_atom": -0.33,
  "total_magnetization_mub_per_atom": 0.000,
  "crystal_system": "cubic"
}

{
  "formula": "ScTiAlRe",
  "functional": "GGA-PBE",
  "state": "relaxed",
  "cell": [[6.4365, 0.0000, 0.0000], [0.0000, 6.4365, 0.0000], [0.0000, 0.0000, 6.4365]],
  "species": ["Sc", "Sc", "Sc", "Sc", "Ti", "Ti", "Ti", "Ti", "Al", "Al", "Al", "Al", "Re", "Re", "Re", "Re"],
  "fractional_positions": [[0.0000, 0.0000, 0.0000], [0.0000, 0.5000, 0.5000], [0.5000, 0.0000, 0.5000], [0.5000, 0.5000, 0.0000], [0.0000, 0.0000, 0.5000], [0.0000, 0.5000, 0.0000], [0.5000, 0.0000, 0.0000], [0.5000, 0.5000, 0.5000], [0.2500, 0.2500, 0.7500], [0.2500, 0.7500, 0.2500], [0.7500, 0.2500, 0.2500], [0.7500, 0.7500, 0.7500], [0.2500, 0.2500, 0.2500], [0.2500, 0.7500, 0.7500], [0.7500, 0.2500, 0.7500], [0.7500, 0.7500, 0.2500]],
  "dos_ef_per_ev_cell": 11.936,
  "final_energy_ev_per_atom": -7.947,
  "ef_ev_per_atom": -0.34,
  "total_magnetization_mub_per_atom": 0.000,
  "crystal_system": "cubic"
}

{
  "formula": "Na2C2Se",
  "functional": "GGA-PBE",
  "state": "relaxed",
  "cell": [[2.7740, 0.0000, 0.0000], [0.0000, 2.7740, 0.0000], [0.0000, 0.0000, 17.6258]],
  "species": ["Na", "Na", "Na", "Na", "C", "C", "C", "C", "Se", "Se"],
  "fractional_positions": [[0.0000, 0.0000, 0.1296], [0.0000, 0.0000, 0.8704], [0.5000, 0.5000, 0.3704], [0.5000, 0.5000, 0.6296], [0.0000, 0.5000, 0.2500], [0.0000, 0.5000, 0.7500], [0.5000, 0.0000, 0.2500], [0.5000, 0.0000, 0.7500], [0.0000, 0.0000, 0.5000], [0.5000, 0.5000, 0.0000]],
  "e_form_raw_ev_per_atom": 1.150,
  "polymorph_energy_ev_per_atom": 0.577,
  "dos_ef_per_ev_cell": 2.895,
  "final_energy_ev_per_atom": -3.764,
  "total_magnetization_mub_per_atom": 0.000,
  "crystal_system": "tetragonal"
}

{
  "formula": "KZn2Te",
  "functional": "GGA-PBE",
  "state": "relaxed",
  "cell": [[8.8300, 0.0000, 0.0000], [0.0000, 8.8300, 0.0000], [0.0000, 0.0000, 6.5468]],
  "species": ["K", "K", "K", "K", "Zn", "Zn", "Zn", "Zn", "Zn", "Zn", "Zn", "Zn", "Te", "Te", "Te", "Te"],
  "fractional_positions": [[0.0000, 0.0000, 0.0000], [0.0000, 0.5000, 0.2500], [0.5000, 0.0000, 0.7500], [0.5000, 0.5000, 0.5000], [0.1866, 0.2500, 0.6250], [0.2500, 0.6866, 0.8750], [0.2500, 0.8134, 0.3750], [0.3134, 0.2500, 0.1250], [0.6866, 0.7500, 0.1250], [0.7500, 0.1866, 0.3750], [0.7500, 0.3134, 0.8750], [0.8134, 0.7500, 0.6250], [0.0000, 0.0000, 0.5000], [0.0000, 0.5000, 0.7500], [0.5000, 0.0000, 0.2500], [0.5000, 0.5000, 0.0000]],
  "e_form_raw_ev_per_atom": -0.035,
  "dos_ef_per_ev_cell": 20.690,
  "final_energy_ev_per_atom": -1.732,
  "total_magnetization_mub_per_atom": 0.000,
  "crystal_system": "tetragonal"
}

{
  "formula": "ZrFeIr2Pb",
  "functional": "GGA-PBE",
  "state": "relaxed",
  "cell": [[4.5741, 0.0000, 0.0000], [0.0000, 4.5741, 0.0000], [0.0000, 0.0000, 4.7205]],
  "species": ["Zr", "Fe", "Ir", "Ir", "Pb"],
  "fractional_positions": [[0.0000, 0.0000, 0.0000], [0.0000, 0.0000, 0.5000], [0.0000, 0.5000, 0.5000], [0.5000, 0.0000, 0.5000], [0.5000, 0.5000, 0.0000]],
  "dos_ef_per_ev_cell": 6.398,
  "final_energy_ev_per_atom": -7.078,
  "ef_ev_per_atom": 0.61,
  "total_magnetization_mub_per_atom": 0.000,
  "crystal_system": "tetragonal"
}

{
  "formula": "TeMoPb",
  "functional": "GGA-PBE",
  "state": "relaxed",
  "cell": [[3.3873, 0.0000, 0.0000], [-1.6936, 2.9335, 0.0000], [0.0000, 0.0000, 7.9294]],
  "species": ["Te", "Mo", "Pb"],
  "fractional_positions": [[0.0000, 0.0000, 0.0000], [0.6667, 0.3333, 0.2311], [0.3333, 0.6667, 0.5291]],
  "e_form_raw_ev_per_atom": 0.209,
  "polymorph_energy_ev_per_atom": 0.000,
  "dos_ef_per_ev_cell": 2.454,
  "final_energy_ev_per_atom": -5.684,
  "total_magnetization_mub_per_atom": 0.000,
  "crystal_system": "trigonal"
}

{
  "formula": "TbHo2Er8",
  "functional": "GGA-PBE",
  "state": "relaxed",
  "cell": [[4.4978, -8.2226, 0.0000], [4.4978, 8.2226, 0.0000], [-3.4988, 0.0000, 4.6659]],
  "species": ["Tb", "Ho", "Ho", "Er", "Er", "Er", "Er", "Er", "Er", "Er", "Er"],
  "fractional_positions": [[0.0000, 0.0000, 0.0000], [0.3103, 0.6897, 0.5000], [0.6897, 0.3103, 0.5000], [0.0977, 0.3476, 0.7013], [0.2031, 0.7969, 0.0000], [0.3476, 0.0977, 0.7013], [0.4495, 0.4495, 0.2146], [0.5505, 0.5505, 0.7854], [0.6524, 0.9023, 0.2987], [0.7969, 0.2031, 0.0000], [0.9023, 0.6524, 0.2987]],
  "polymorph_energy_ev_per_atom": 0.000,
  "dos_ef_per_ev_cell": 14.708,
  "final_energy_ev_per_atom": -4.410,
  "ef_ev_per_atom": 0.16,
  "total_magnetization_mub_per_atom": 0.000,
  "crystal_system": "monoclinic"
}

{
  "formula": "ZrNF",
  "functional": "GGA-PBE",
  "state": "relaxed",
  "cell": [[5.2363, 0.0000, 0.0000], [0.0000, 5.2363, 0.0000], [0.0000, 0.0000, 5.2363]],
  "species": ["Zr", "Zr", "Zr", "Zr", "N", "N", "N", "N", "F", "F", "F", "F"],
  "fractional_positions": [[0.0000, 0.0000, 0.0000], [0.0000, 0.5000, 0.5000], [0.5000, 0.0000, 0.5000], [0.5000, 0.5000, 0.0000], [0.2500, 0.2500, 0.7500], [0.2500, 0.7500, 0.2500], [0.7500, 0.2500, 0.2500], [0.7500, 0.7500, 0.7500], [0.2500, 0.2500, 0.2500], [0.2500, 0.7500, 0.7500], [0.7500, 0.2500, 0.7500], [0.7500, 0.7500, 0.2500]],
  "e_form_raw_ev_per_atom": -2.225,
  "dos_ef_per_ev_cell": 0.000,
  "final_energy_ev_per_atom": -8.473,
  "total_magnetization_mub_per_atom": 0.000,
  "crystal_system": "cubic"
}

{
  "formula": "KCS3",
  "functional": "GGA-PBE",
  "state": "relaxed",
  "cell": [[5.8108, 0.0000, 0.0000], [0.0000, 5.8108, 0.0000], [0.0000, 0.0000, 5.8108]],
  "species": ["K", "C", "S", "S", "S"],
  "fractional_positions": [[0.0000, 0.0000, 0.0000], [0.5000, 0.5000, 0.5000], [0.0000, 0.0000, 0.5000], [0.0000, 0.5000, 0.0000], [0.5000, 0.0000, 0.0000]],
  "e_form_raw_ev_per_atom": 2.692,
  "polymorph_energy_ev_per_atom": 2.843,
  "dos_ef_per_ev_cell": 16.381,
  "final_energy_ev_per_atom": -1.849,
  "total_magnetization_mub_per_atom": 0.941,
  "crystal_system": "cubic"
}